(1)
10
Lattice="-4.7067 6.7649 2.2691 -1.3263 -3.5004 7.6847 2.2264 1.2319 0.9454" Properties=species:S:1:pos:R:3 comment="Be2Si2I (PBE, relaxed)" polymorph_energy_mev_per_atom=199 total_magnetization_mub_per_cell=0.0 raw_formation_energy_mev_per_atom=833 spacegroup=P4/mbm pbc="T T T"
Si -1.0978 -0.4304 3.1461
Si -4.9352 3.6949 6.8077
Si -2.9040 -0.5377 7.5395
Si -3.1290 3.8022 2.4143
Be -3.6387 5.2963 5.5646
Be -2.9127 1.5494 8.7372
Be -0.1679 -0.7999 5.3345
Be -0.8939 2.9470 2.1619
I 0.0000 0.0000 0.0000
I -3.0165 1.6323 4.9769

=====

(2)
4
Lattice="-3.6705 -1.4271 -1.5418 -2.0627 -3.5185 -1.1186 -3.5024 -1.8228 4.2984" Properties=species:S:1:pos:R:3 comment="AlCoSi2 (PBE, relaxed)" total_magnetization_mub_per_cell=0.0 raw_formation_energy_mev_per_atom=-167 spacegroup=Cm pbc="T T T"
Si -5.8313 -4.8847 -1.9862
Si -7.0500 -5.1677 1.2458
Co -1.6715 -1.3053 -0.1006
Al -5.0338 -3.7407 0.6374

=====

(3)
4
Lattice="5.1136 -0.0004 -0.0001 2.0264 4.6950 0.0001 -2.9387 -3.3075 2.5639" Properties=species:S:1:pos:R:3 comment="MgAsRu2 (PBE, relaxed)" total_magnetization_mub_per_cell=0.0 formation_energy_ev_per_atom=0.011 spacegroup=Immm pbc="T T T"
Mg 1.3289 1.8674 1.2820
As 2.8725 -0.4803 1.2819
Ru 6.9259 4.5538 0.0000
Ru 3.7841 2.4881 0.0000

=====

(4)
8
Lattice="4.4188 0.0000 0.0000 0.0000 4.4188 0.0000 0.0000 0.0000 12.5442" Properties=species:S:1:pos:R:3 comment="LiPu3Te4 (PBE, relaxed)" polymorph_energy_mev_per_atom=10 total_magnetization_mub_per_cell=5.3 raw_formation_energy_mev_per_atom=-1014 spacegroup=P4/mmm pbc="T T T"
Li 0.0000 0.0000 0.0000
Pu 2.2094 2.2094 3.0278
Pu 2.2094 2.2094 9.5164
Pu 0.0000 0.0000 6.2721
Te 0.0000 0.0000 9.4468
Te 2.2094 2.2094 6.2721
Te 0.0000 0.0000 3.0974
Te 2.2094 2.2094 0.0000

=====

Please write out number 2 again, unchanged.
4
Lattice="-3.6705 -1.4271 -1.5418 -2.0627 -3.5185 -1.1186 -3.5024 -1.8228 4.2984" Properties=species:S:1:pos:R:3 comment="AlCoSi2 (PBE, relaxed)" total_magnetization_mub_per_cell=0.0 raw_formation_energy_mev_per_atom=-167 spacegroup=Cm pbc="T T T"
Si -5.8313 -4.8847 -1.9862
Si -7.0500 -5.1677 1.2458
Co -1.6715 -1.3053 -0.1006
Al -5.0338 -3.7407 0.6374